# 1
Computed, not measured: crystalline Ho3Er6Tm at its relaxed geometry at the GGA-PBE level of DFT.

The structure belongs to space group Cmc2_1 (No. 36); the cell edges are 9.481, 20.698 and 6.277 Å and the angles 90.00°, 90.00° and 90.00°. The asymmetric unit holds Ho at (0.000, 0.080, 0.000), Ho at (0.169, 0.373, 0.398), Er at (0.000, 0.199, 0.695), Er at (0.000, 0.485, 0.730), Er at (0.177, 0.219, 0.236), Er at (0.183, 0.061, 0.474) and Tm at (0.000, 0.339, 0.925).

The final energy comes out at -4.4340 eV/atom. The calculated formation energy is 124 meV per atom. The value obtained for the energy above the most stable polymorph in this dataset is 0.000 eV/atom.



# 2
Computed, not measured: crystalline TbNd2SmSb4 at its relaxed geometry at the GGA-PBE level of DFT.

The structure belongs to space group P2/m (No. 10); the cell edges are 7.759, 4.484 and 7.762 Å and the angles 90.00°, 109.48° and 90.00°. The asymmetric unit holds Tb at (0.000, 0.000, 0.000), Nd at (0.500, 0.000, 0.500), Nd at (0.500, 0.500, 0.000), Sm at (0.000, 0.500, 0.500), Sb at (0.244, 0.500, 0.246) and Sb at (0.245, 0.000, 0.750).

The final energy comes out at -5.5957 eV/atom. As for the raw formation energy: -1174 meV/atom.



# 3
Computed, not measured: crystalline Zn2WSe at its relaxed geometry at the GGA-PBE level of DFT.

The structure belongs to space group Cmm2 (No. 35); the cell edges are 3.085, 4.837 and 10.255 Å and the angles 90.00°, 90.00° and 90.00°. The asymmetric unit holds Zn at (0.000, 0.000, 0.000), Zn at (0.000, 0.500, 0.217), W at (0.000, 0.000, 0.437) and Se at (0.000, 0.500, 0.632).

The final energy comes out at -4.3876 eV/atom. As for the raw formation energy: 359 meV/atom.



# 4
Computed, not measured: crystalline Ho2Cu15Ni2 at its relaxed geometry at the GGA-PBE level of DFT.

The structure belongs to space group R-3m (No. 166, hexagonal axes); the cell edges are 8.4909, 8.4909 and 12.4230 Å and the angles 90.00°, 90.00° and 120.00°. The asymmetric unit holds Ho at (0.0000, 0.0000, 0.1667), Cu at (0.0000, 0.2934, 0.5000), Cu at (0.0000, 0.5000, 0.0000), Cu at (0.9997, 0.4999, 0.3475) and Ni at (0.0000, 0.0000, 0.4019).

The final energy comes out at -4.4469 eV/atom. The calculated formation energy is -123 meV per atom.



# 5
Computed, not measured: crystalline Pr8NdIn2 at its relaxed geometry at the GGA-PBE level of DFT.

The structure belongs to space group C2/m (No. 12); the cell edges are 17.670, 6.896 and 6.300 Å and the angles 90.00°, 103.24° and 90.00°. The asymmetric unit holds Pr at (0.001, 0.000, 0.240), Pr at (0.135, 0.500, 0.076), Pr at (0.173, 0.238, 0.610), Nd at (0.000, 0.500, 0.500) and In at (0.179, 0.000, 0.105).

The final energy comes out at -4.5056 eV/atom. The calculated formation energy is -98 meV per atom.



# 6
Computed, not measured: crystalline MnNbPdN2 at its relaxed geometry at the GGA-PBE level of DFT.

The structure belongs to space group P4/mmm (No. 123); the cell edges are 3.793, 3.793 and 5.449 Å and the angles 90.00°, 90.00° and 90.00°. The asymmetric unit holds Mn at (0.000, 0.000, 0.000), Nb at (0.500, 0.500, 0.000), Pd at (0.500, 0.500, 0.500) and N at (0.000, 0.500, 0.500).

The final energy comes out at -6.1526 eV/atom. As for the raw formation energy: 2064 meV/atom.



# 7
Computed, not measured: crystalline Rb2MoAu at its relaxed geometry at the GGA-PBE level of DFT.

The structure belongs to space group I-42d (No. 122); the cell edges are 12.451, 12.451 and 5.469 Å and the angles 90.00°, 90.00° and 90.00°. The asymmetric unit holds Rb at (0.094, 0.250, 0.125), Mo at (0.000, 0.000, 0.500) and Au at (0.000, 0.000, 0.000).

The final energy comes out at -3.0857 eV/atom. The calculated formation energy is 925 meV per atom. The value obtained for the energy above the most stable polymorph in this dataset is 0.000 eV/atom.



# 8
Computed, not measured: crystalline CsY2CdF at its relaxed geometry at the GGA-PBE level of DFT.

The structure belongs to space group P4/mmm (No. 123); the cell edges are 5.653, 5.653 and 7.541 Å and the angles 90.00°, 90.00° and 90.00°. The asymmetric unit holds Cs at (0.000, 0.000, 0.000), Y at (0.000, 0.500, 0.500), Cd at (0.500, 0.500, 0.500) and F at (0.500, 0.500, 0.000).

The final energy comes out at -3.2149 eV/atom. As for the raw formation energy: 99 meV/atom.



# 9
Computed, not measured: crystalline BaAgPS2 at its relaxed geometry at the GGA-PBE level of DFT.

The structure belongs to space group P4/mmm (No. 123); the cell edges are 5.104, 5.104 and 4.735 Å and the angles 90.00°, 90.00° and 90.00°. The asymmetric unit holds Ba at (0.000, 0.000, 0.000), Ag at (0.500, 0.500, 0.500), P at (0.500, 0.500, 0.000) and S at (0.000, 0.500, 0.500).

The final energy comes out at -3.9628 eV/atom. As for the raw formation energy: -275 meV/atom. The value obtained for the energy above the most stable polymorph in this dataset is 0.000 eV/atom.



# 10
Computed, not measured: crystalline TiReN3 at its relaxed geometry at the GGA-PBE level of DFT.

The structure belongs to space group P3m1 (No. 156); the cell edges are 2.9407, 2.9407 and 6.8571 Å and the angles 90.00°, 90.00° and 120.00°. The asymmetric unit holds Ti at (0.0000, 0.0000, 0.0000), Re at (0.3333, 0.6667, 0.4356), N at (0.3333, 0.6667, 0.1491), N at (0.6667, 0.3333, 0.6191) and N at (0.6667, 0.3333, 0.8151).

The final energy comes out at -9.5031 eV/atom. As for the raw formation energy: -439 meV/atom.



# 11
Computed, not measured: crystalline NaPmTl2F6 at its relaxed geometry at the GGA-PBE level of DFT.

The structure belongs to space group P2_1/c (No. 14); the cell edges are 6.418, 6.456 and 11.104 Å and the angles 90.00°, 125.08° and 90.00°. The asymmetric unit holds Na at (0.000, 0.000, 0.000), Pm at (0.500, 0.000, 0.500), Tl at (0.242, 0.027, 0.749), F at (0.183, 0.209, 0.464), F at (0.252, 0.721, 0.460) and F at (0.328, 0.020, 0.255).

The final energy comes out at -5.0800 eV/atom. As for the raw formation energy: -2877 meV/atom.



# 12
Computed, not measured: crystalline Nd6SnP2Cl3 at its relaxed geometry at the GGA-PBE level of DFT.

The structure belongs to space group C2/m (No. 12); the cell edges are 18.561, 4.234 and 8.517 Å and the angles 90.00°, 102.89° and 90.00°. The asymmetric unit holds Nd at (0.013, 0.000, 0.262), Nd at (0.169, 0.500, 0.118), Nd at (0.175, 0.500, 0.568), Sn at (0.000, 0.500, 0.000), P at (0.169, 0.000, 0.341), Cl at (0.000, 0.500, 0.500) and Cl at (0.166, 0.000, 0.836).

The final energy comes out at -5.4991 eV/atom. As for the raw formation energy: -1418 meV/atom.



# 13
Computed, not measured: crystalline PmAg12 at its relaxed geometry at the GGA-PBE level of DFT.

The structure belongs to space group Fm-3m (No. 225); the cell edges are 11.378, 11.378 and 11.378 Å and the angles 90.00°, 90.00° and 90.00°. The asymmetric unit holds Pm at (0.000, 0.000, 0.000) and Ag at (0.000, 0.169, 0.331).

The final energy comes out at -2.3833 eV/atom. The calculated formation energy is 614 meV per atom. The value obtained for the energy above the most stable polymorph in this dataset is 0.642 eV/atom.



# 14
Computed, not measured: crystalline YTi2TlB at its relaxed geometry at the GGA-PBE level of DFT.

The structure belongs to space group P4/mmm (No. 123); the cell edges are 5.054, 5.054 and 5.622 Å and the angles 90.00°, 90.00° and 90.00°. The asymmetric unit holds Y at (0.000, 0.000, 0.000), Ti at (0.000, 0.500, 0.500), Tl at (0.000, 0.000, 0.500) and B at (0.500, 0.500, 0.000).

The final energy comes out at -4.4987 eV/atom. The calculated formation energy is 1761 meV per atom.



# 15
Computed, not measured: crystalline BaPt3Cl at its relaxed geometry at the GGA-PBE level of DFT.

The structure belongs to space group Pm-3m (No. 221); the cell edges are 5.460, 5.460 and 5.460 Å and the angles 90.00°, 90.00° and 90.00°. The asymmetric unit holds Ba at (0.000, 0.000, 0.000), Pt at (0.000, 0.000, 0.500) and Cl at (0.500, 0.500, 0.500).

The final energy comes out at -2.7557 eV/atom. As for the raw formation energy: 1623 meV/atom. The value obtained for the energy above the most stable polymorph in this dataset is 1.414 eV/atom.



# 16
Computed, not measured: crystalline TbNd6Hg5 at its relaxed geometry at the GGA-PBE level of DFT.

The structure belongs to space group Immm (No. 71); the cell edges are 5.371, 7.866 and 16.430 Å and the angles 90.00°, 90.00° and 90.00°. The asymmetric unit holds Tb at (0.000, 0.000, 0.000), Nd at (0.000, 0.227, 0.500), Nd at (0.000, 0.256, 0.172), Hg at (0.000, 0.000, 0.330), Hg at (0.000, 0.500, 0.000) and Hg at (0.000, 0.500, 0.352).

The final energy comes out at -3.2437 eV/atom. The calculated formation energy is -348 meV per atom.



# 17
Computed, not measured: crystalline Zr3Zn9Au2 at its relaxed geometry at the GGA-PBE level of DFT.

The structure belongs to space group Immm (No. 71); the cell edges are 4.259, 8.983 and 12.329 Å and the angles 90.00°, 90.00° and 90.00°. The asymmetric unit holds Zr at (0.000, 0.000, 0.000), Zr at (0.000, 0.000, 0.289), Zn at (0.000, 0.278, 0.143), Zn at (0.000, 0.367, 0.343), Zn at (0.000, 0.500, 0.000) and Au at (0.000, 0.173, 0.500).

The final energy comes out at -3.3851 eV/atom. The calculated formation energy is -266 meV per atom.



# 18
Computed, not measured: crystalline CsVGe2 at its relaxed geometry at the GGA-PBE level of DFT.

The structure belongs to space group I4_1/amd (No. 141, origin choice 2); the cell edges are 6.410, 6.410 and 14.099 Å and the angles 90.00°, 90.00° and 90.00°. The asymmetric unit holds Cs at (0.000, 0.250, 0.375), V at (0.000, 0.250, 0.875) and Ge at (0.000, 0.000, 0.000).

The final energy comes out at -4.5297 eV/atom. The calculated formation energy is 272 meV per atom.



# 19
Computed, not measured: crystalline Tb2CdB2Rh5 at its relaxed geometry at the GGA-PBE level of DFT.

The structure belongs to space group P4/mbm (No. 127); the cell edges are 9.700, 9.700 and 3.220 Å and the angles 90.00°, 90.00° and 90.00°. The asymmetric unit holds Tb at (0.176, 0.324, 0.000), Cd at (0.000, 0.000, 0.000), B at (0.122, 0.622, 0.000), Rh at (0.000, 0.500, 0.500) and Rh at (0.070, 0.772, 0.500).

The final energy comes out at -6.7368 eV/atom. The calculated formation energy is -708 meV per atom.



# 20
Computed, not measured: crystalline Dy3ScCd at its relaxed geometry at the GGA-PBE level of DFT.

The structure belongs to space group P2_1/m (No. 11); the cell edges are 5.200, 6.910 and 8.172 Å and the angles 90.00°, 105.28° and 90.00°. The asymmetric unit holds Dy at (0.136, 0.006, 0.219), Dy at (0.297, 0.250, 0.615), Sc at (0.289, 0.750, 0.594) and Cd at (0.473, 0.750, 0.979).

The final energy comes out at -4.2473 eV/atom. The calculated formation energy is -37 meV per atom. The value obtained for the energy above the most stable polymorph in this dataset is 0.000 eV/atom.